This record from Alexandria describes an optimized crystal structure of Cs2BaHgPt. The functional is PBE-GGA.

a b c (Å): 6.716 6.716 6.098
angles (deg): 90.00 90.00 90.00
Space group P4/mmm (No. 123)
Asymmetric unit:
Cs (0.000, 0.500, 0.000) (multiplicity 2)
Ba (0.000, 0.000, 0.500) (multiplicity 1)
Hg (0.500, 0.500, 0.500) (multiplicity 1)
Pt (0.000, 0.000, 0.000) (multiplicity 1)

## Properties
The value obtained for the spin magnetization is 0.0 μB/cell. The crystal system is tetragonal. For the energy, the calculation gives -2.121 eV per atom. For the formation energy from the elements, the calculation gives -126.8 meV per atom.

---

This record from Alexandria describes an optimized crystal structure of CsBa2HgPt. The functional is PBE-GGA.

a b c (Å): 6.249 6.249 5.578
angles (deg): 90.00 90.00 90.00
Space group P4/mmm (No. 123)
Asymmetric unit:
Cs (0.000, 0.000, 0.000) (multiplicity 1)
Ba (0.000, 0.500, 0.500) (multiplicity 2)
Hg (0.500, 0.500, 0.000) (multiplicity 1)
Pt (0.500, 0.500, 0.500) (multiplicity 1)

## Properties
The value obtained for the spin magnetization is 0.0 μB/cell. The crystal system is tetragonal. For the energy, the calculation gives -2.489 eV per atom. For the formation energy from the elements, the calculation gives -281.1 meV per atom.

---

This record from Alexandria describes an optimized crystal structure of CsBaHg2Pt. The functional is PBE-GGA.

a b c (Å): 5.574 5.574 5.844
angles (deg): 90.00 90.00 90.00
Space group P4/mmm (No. 123)
Asymmetric unit:
Cs (0.000, 0.000, 0.000) (multiplicity 1)
Ba (0.500, 0.500, 0.000) (multiplicity 1)
Hg (0.000, 0.500, 0.500) (multiplicity 2)
Pt (0.500, 0.500, 0.500) (multiplicity 1)

## Properties
The value obtained for the spin magnetization is 0.0 μB/cell. The crystal system is tetragonal. For the energy, the calculation gives -2.187 eV per atom. For the formation energy from the elements, the calculation gives -302.6 meV per atom.

---

This record from Alexandria describes an optimized crystal structure of Cs2BaHgPt. The functional is PBE-GGA.

a b c (Å): 8.298 8.298 5.662
angles (deg): 90.00 90.00 90.00
Space group P4/mmm (No. 123)
Asymmetric unit:
Cs (0.000, 0.500, 0.000) (multiplicity 2)
Ba (0.000, 0.000, 0.000) (multiplicity 1)
Hg (0.500, 0.500, 0.500) (multiplicity 1)
Pt (0.000, 0.000, 0.500) (multiplicity 1)

## Properties
The value obtained for the spin magnetization is 0.0 μB/cell. The crystal system is tetragonal. For the energy, the calculation gives -1.725 eV per atom. For the formation energy from the elements, the calculation gives 269.8 meV per atom.

---

Copy entry 1 word for word.
This record from Alexandria describes an optimized crystal structure of Cs2BaHgPt. The functional is PBE-GGA.

a b c (Å): 6.716 6.716 6.098
angles (deg): 90.00 90.00 90.00
Space group P4/mmm (No. 123)
Asymmetric unit:
Cs (0.000, 0.500, 0.000) (multiplicity 2)
Ba (0.000, 0.000, 0.500) (multiplicity 1)
Hg (0.500, 0.500, 0.500) (multiplicity 1)
Pt (0.000, 0.000, 0.000) (multiplicity 1)

## Properties
The value obtained for the spin magnetization is 0.0 μB/cell. The crystal system is tetragonal. For the energy, the calculation gives -2.121 eV per atom. For the formation energy from the elements, the calculation gives -126.8 meV per atom.

---

> What is the formation energy from the elements in the third record?

-302.6 meV per atom

---

> The highest energy belongs to which entry?

number 4